<w>
First-principles (PBE-GGA) data for a relaxed structure of LiNbAs2Br, as listed in the Alexandria database.

Computed properties:
DOS at the Fermi energy, states/eV per atom: 0.795

Lattice parameters (Å, degrees): 4.472 4.472 4.986 90.00 90.00 90.00
Element x y z (fractional)
Li  0.000  0.000  0.000
Nb  0.500  0.500  0.500
As  0.000  0.500  0.000
As  0.500  0.000  0.000
Br  0.000  0.000  0.500

***

<x>
First-principles (PBE-GGA) data for a relaxed structure of LiNbAs2Br, as listed in the Alexandria database.

Computed properties:
DOS at the Fermi energy, states/eV per atom: 0.654

Lattice parameters (Å, degrees): 4.975 4.975 5.536 90.00 90.00 90.00
Element x y z (fractional)
Li  0.000  0.000  0.000
Nb  0.500  0.500  0.500
As  0.000  0.500  0.500
As  0.500  0.000  0.500
Br  0.500  0.500  0.000

***

Sorted by energy, starting with the most stable: <x>, <w>.